(1)
Compound: Zn5Fe
Source: Alexandria via LeMat-Bulk
Functional: PBE
Structure: relaxed Values from VASP.

Summary:
mass density	7.3	g/cm³
formation energy	201.1	meV/atom
Fermi-level density of states	0.77	states/eV/atom

The structure in Quantum ESPRESSO input format:
```
&SYSTEM
  ibrav = 0, nat = 6, ntyp = 2
/
ATOMIC_SPECIES
Zn 65.41 Zn.upf
Fe 55.84 Fe.upf
CELL_PARAMETERS angstrom
1.6434 0.3222 4.6748
-3.2311 0.4785 3.7402
-0.7252 -3.7680 3.1520
ATOMIC_POSITIONS crystal
Zn 0.6255 0.6255 0.1234
Zn 0.2500 0.2500 0.2500
Zn 0.6255 0.6255 0.6255
Zn 0.1234 0.6255 0.6255
Zn 0.6255 0.1234 0.6255
Fe 0.0000 0.0000 0.0000
```

***

(2)
Compound: ZnFe
Source: Alexandria via LeMat-Bulk
Functional: PBE
Structure: relaxed Values from VASP.

Summary:
mass density	3.7	g/cm³
formation energy	895.1	meV/atom
Fermi-level density of states	0.52	states/eV/atom

The structure in Quantum ESPRESSO input format:
```
&SYSTEM
  ibrav = 0, nat = 16, ntyp = 2
/
ATOMIC_SPECIES
Zn 65.41 Zn.upf
Fe 55.84 Fe.upf
CELL_PARAMETERS angstrom
-1.9785 0.6353 7.2567
-6.5996 -3.3394 -1.5070
3.0835 -6.7396 1.4307
ATOMIC_POSITIONS crystal
Zn 0.2968 0.2968 0.2968
Zn 0.2968 0.7032 0.7032
Zn 0.7032 0.2968 0.7032
Zn 0.7032 0.7032 0.2968
Zn 0.7968 0.7968 0.7968
Zn 0.7968 0.2032 0.2032
Zn 0.2032 0.7968 0.2032
Zn 0.2032 0.2032 0.7968
Fe 0.1096 0.1096 0.1096
Fe 0.1096 0.8904 0.8904
Fe 0.8904 0.1096 0.8904
Fe 0.8904 0.8904 0.1096
Fe 0.6096 0.6096 0.6096
Fe 0.6096 0.3904 0.3904
Fe 0.3904 0.6096 0.3904
Fe 0.3904 0.3904 0.6096
```

***

(3)
Compound: ZnFe
Source: Alexandria via LeMat-Bulk
Functional: PBE
Structure: relaxed Values from VASP.

Summary:
mass density	8.0	g/cm³
formation energy	43.5	meV/atom
Fermi-level density of states	0.53	states/eV/atom

The structure in Quantum ESPRESSO input format:
```
&SYSTEM
  ibrav = 0, nat = 8, ntyp = 2
/
ATOMIC_SPECIES
Fe 55.84 Fe.upf
Zn 65.41 Zn.upf
CELL_PARAMETERS angstrom
-2.8830 1.5287 3.2400
-0.5298 -3.9561 1.3952
4.0027 0.6174 3.2704
ATOMIC_POSITIONS crystal
Fe 0.0819 0.2500 0.1214
Fe 0.4181 0.7500 0.6214
Fe 0.5819 0.2500 0.3786
Fe 0.9181 0.7500 0.8786
Zn 0.0899 0.2500 0.6242
Zn 0.4101 0.7500 0.1242
Zn 0.5899 0.2500 0.8758
Zn 0.9101 0.7500 0.3758
```

***

(4)
Compound: ZnFe
Source: Alexandria via LeMat-Bulk
Functional: PBE
Structure: relaxed Values from VASP.

Summary:
mass density	7.7	g/cm³
formation energy	55.7	meV/atom
Fermi-level density of states	0.62	states/eV/atom

The structure in Quantum ESPRESSO input format:
```
&SYSTEM
  ibrav = 0, nat = 4, ntyp = 2
/
ATOMIC_SPECIES
Zn 65.41 Zn.upf
Fe 55.84 Fe.upf
CELL_PARAMETERS angstrom
-0.8470 2.4195 0.2477
-1.2591 -0.6606 2.1473
6.3538 1.7864 4.2754
ATOMIC_POSITIONS crystal
Zn 0.2500 0.2500 0.6349
Zn 0.7500 0.7500 0.3651
Fe 0.2500 0.2500 0.1214
Fe 0.7500 0.7500 0.8786
```

***

(5)
Compound: ZnFe5
Source: Alexandria via LeMat-Bulk
Functional: PBE
Structure: relaxed Values from VASP.

Summary:
mass density	8.0	g/cm³
formation energy	39.6	meV/atom
Fermi-level density of states	0.71	states/eV/atom

The structure in Quantum ESPRESSO input format:
```
&SYSTEM
  ibrav = 0, nat = 6, ntyp = 2
/
ATOMIC_SPECIES
Zn 65.41 Zn.upf
Fe 55.84 Fe.upf
CELL_PARAMETERS angstrom
4.0775 0.0000 0.0000
0.0000 2.9178 0.0000
0.0000 -1.4589 6.0268
ATOMIC_POSITIONS crystal
Zn 0.0000 0.9722 0.9444
Fe 0.0000 0.3018 0.6035
Fe 0.0000 0.6427 0.2853
Fe 0.5000 0.4722 0.9445
Fe 0.5000 0.8060 0.6121
Fe 0.5000 0.1384 0.2768
```

***

(6)
Compound: Zn4Fe5
Source: Alexandria via LeMat-Bulk
Functional: PBE
Structure: relaxed Values from VASP.

Summary:
mass density	7.8	g/cm³
formation energy	128.8	meV/atom
offset from the most stable computed form	0.98	eV per formula unit
Fermi-level density of states	0.71	states/eV/atom

The structure in Quantum ESPRESSO input format:
```
&SYSTEM
  ibrav = 0, nat = 18, ntyp = 2
/
ATOMIC_SPECIES
Zn 65.41 Zn.upf
Fe 55.84 Fe.upf
CELL_PARAMETERS angstrom
7.2915 0.0000 0.0000
3.6457 6.3146 0.0000
0.0000 0.0000 4.9995
ATOMIC_POSITIONS crystal
Zn 0.0000 0.0000 0.0000
Zn 0.0000 0.0000 0.5000
Zn 0.6696 0.3304 0.2500
Zn 0.0000 0.6696 0.2500
Zn 0.3304 0.0000 0.2500
Zn 0.3304 0.6696 0.7500
Zn 0.0000 0.3304 0.7500
Zn 0.6696 0.0000 0.7500
Fe 0.3444 0.6556 0.2500
Fe 0.0000 0.3444 0.2500
Fe 0.6556 0.0000 0.2500
Fe 0.6556 0.3444 0.7500
Fe 0.0000 0.6556 0.7500
Fe 0.3444 0.0000 0.7500
Fe 0.3333 0.3333 0.0000
Fe 0.6667 0.6667 0.5000
Fe 0.6667 0.6667 0.0000
Fe 0.3333 0.3333 0.5000
```

***

(7)
Compound: Zn2Fe
Source: Alexandria via LeMat-Bulk
Functional: PBE
Structure: relaxed Values from VASP.

Summary:
mass density	7.7	g/cm³
formation energy	157.9	meV/atom
Fermi-level density of states	1.25	states/eV/atom

The structure in Quantum ESPRESSO input format:
```
&SYSTEM
  ibrav = 0, nat = 9, ntyp = 2
/
ATOMIC_SPECIES
Zn 65.41 Zn.upf
Fe 55.84 Fe.upf
CELL_PARAMETERS angstrom
-2.2894 6.5045 -2.4898
1.9576 -0.7536 7.0249
2.4412 0.6245 -0.6133
ATOMIC_POSITIONS crystal
Zn 0.0000 0.3009 0.0000
Zn 0.0000 0.6309 0.5000
Zn 0.3009 0.0000 0.0000
Zn 0.6991 0.6991 0.0000
Zn 0.6309 0.0000 0.5000
Zn 0.3691 0.3691 0.5000
Fe 0.0000 0.0000 0.5000
Fe 0.3333 0.6667 0.0000
Fe 0.6667 0.3333 0.0000
```

***

(8)
Compound: ZnFe
Source: Alexandria via LeMat-Bulk
Functional: PBE
Structure: relaxed Values from VASP.

Summary:
mass density	7.9	g/cm³
formation energy	3.7	meV/atom
Fermi-level density of states	0.34	states/eV/atom

The structure in Quantum ESPRESSO input format:
```
&SYSTEM
  ibrav = 0, nat = 2, ntyp = 2
/
ATOMIC_SPECIES
Zn 65.41 Zn.upf
Fe 55.84 Fe.upf
CELL_PARAMETERS angstrom
2.5674 0.0000 0.0000
0.0000 2.5674 0.0000
0.0000 0.0000 3.8507
ATOMIC_POSITIONS crystal
Zn 0.5000 0.5000 0.5000
Fe 0.0000 0.0000 0.0000
```

***

(9)
Compound: Zn2Fe
Source: Alexandria via LeMat-Bulk
Functional: PBE
Structure: relaxed Values from VASP.

Summary:
mass density	6.5	g/cm³
formation energy	119.3	meV/atom
Fermi-level density of states	0.59	states/eV/atom

The structure in Quantum ESPRESSO input format:
```
&SYSTEM
  ibrav = 0, nat = 3, ntyp = 2
/
ATOMIC_SPECIES
Zn 65.41 Zn.upf
Fe 55.84 Fe.upf
CELL_PARAMETERS angstrom
-1.4211 -1.4444 -3.7832
-3.2120 -2.0397 1.9853
-1.4936 2.1129 -0.2456
ATOMIC_POSITIONS crystal
Zn 0.0000 0.5000 0.0000
Zn 0.5000 0.0000 0.0000
Fe 0.0000 0.0000 0.5000
```

***

(10)
Compound: ZnFe5
Source: Alexandria via LeMat-Bulk
Functional: PBE
Structure: relaxed Values from VASP.

Summary:
mass density	7.5	g/cm³
formation energy	300.3	meV/atom
Fermi-level density of states	1.02	states/eV/atom

The structure in Quantum ESPRESSO input format:
```
&SYSTEM
  ibrav = 0, nat = 6, ntyp = 2
/
ATOMIC_SPECIES
Zn 65.41 Zn.upf
Fe 55.84 Fe.upf
CELL_PARAMETERS angstrom
-2.7674 2.4081 2.9059
0.6130 -4.5973 0.6251
3.1657 0.7478 2.3952
ATOMIC_POSITIONS crystal
Zn 0.0000 0.0000 0.0000
Fe 0.0000 0.5000 0.5000
Fe 0.3333 0.6667 0.0000
Fe 0.5000 0.0000 0.5000
Fe 0.5000 0.5000 0.5000
Fe 0.6667 0.3333 0.0000
```

***

(11)
Compound: Zn15Fe
Source: Alexandria via LeMat-Bulk
Functional: PBE
Structure: relaxed Values from VASP.

Summary:
mass density	7.4	g/cm³
formation energy	9.7	meV/atom
Fermi-level density of states	0.38	states/eV/atom

The structure in Quantum ESPRESSO input format:
```
&SYSTEM
  ibrav = 0, nat = 16, ntyp = 2
/
ATOMIC_SPECIES
Zn 65.41 Zn.upf
Fe 55.84 Fe.upf
CELL_PARAMETERS angstrom
5.4261 0.0000 0.0000
-2.7131 4.6992 0.0000
0.0000 0.0000 9.1071
ATOMIC_POSITIONS crystal
Zn 0.0000 0.0000 0.5000
Zn 0.0031 0.5015 0.0000
Zn 0.9970 0.4985 0.5000
Zn 0.4985 0.9969 0.0000
Zn 0.5015 0.0030 0.5000
Zn 0.4985 0.5015 0.0000
Zn 0.5015 0.4985 0.5000
Zn 0.8357 0.1643 0.2414
Zn 0.8357 0.1643 0.7586
Zn 0.8357 0.6715 0.2414
Zn 0.8357 0.6715 0.7586
Zn 0.3285 0.1643 0.2414
Zn 0.3285 0.1643 0.7586
Zn 0.3333 0.6667 0.2552
Zn 0.3333 0.6667 0.7448
Fe 0.0000 0.0000 0.0000
```

***

(12)
Compound: Zn4Fe5
Source: Alexandria via LeMat-Bulk
Functional: PBE
Structure: relaxed Values from VASP.

Summary:
mass density	7.9	g/cm³
formation energy	20.2	meV/atom
offset from the most stable computed form	0.00	eV per formula unit
Fermi-level density of states	0.57	states/eV/atom

The structure in Quantum ESPRESSO input format:
```
&SYSTEM
  ibrav = 0, nat = 9, ntyp = 2
/
ATOMIC_SPECIES
Fe 55.84 Fe.upf
Zn 65.41 Zn.upf
CELL_PARAMETERS angstrom
-1.2785 0.3741 -3.4415
-5.8154 -0.4768 0.1301
0.2078 5.2813 2.4754
ATOMIC_POSITIONS crystal
Fe 0.0000 0.0000 0.0000
Fe 0.3360 0.0000 0.6719
Fe 0.3360 0.3281 0.0000
Fe 0.6640 0.6719 0.0000
Fe 0.6640 0.0000 0.3281
Zn 0.0000 0.3250 0.3250
Zn 0.0000 0.6750 0.6750
Zn 0.3250 0.6750 0.3250
Zn 0.6750 0.3250 0.6750
```